The following is a PBE calculation of an optimized crystal structure of Ni3Hg5, from the Alexandria database.

Summary:
- E (hartree per atom) = -0.076
- total magnetic moment (μB/f.u.) = 0.000
- space group = Cmmm (65)

abc: 5.821 5.821 4.185
angles: 90.00 90.00 95.49
Sites, in units of the cell vectors:
Hg  0.710  0.710  0.500
Hg  0.290  0.290  0.500
Hg  0.000  0.500  0.000
Hg  0.500  0.000  0.000
Hg  0.000  0.000  0.000
Ni  0.500  0.500  0.000
Ni  0.764  0.236  0.500
Ni  0.236  0.764  0.500